The following is a DFT calculation (PBE+U) of a relaxed Na5Mn2P2C2O14 crystal.

Values from the calculation:
Crystal system: monoclinic
VASP energy: -6.756 eV per atom
Relative energy among the computed polymorphs: 0.003 eV per atom

Geometry as POSCAR:
```
Na5Mn2P2C2O14
1.0
10.4435 0.0000 0.0000
0.0000 6.6732 0.0000
-5.1668 0.0000 9.1496
Na Mn P C O
10 4 4 4 28
Direct
0.0916 0.2500 0.1752 Na
0.2606 0.5101 0.0080 Na
0.2606 0.9899 0.0080 Na
0.2640 0.5032 0.5014 Na
0.2640 0.9968 0.5014 Na
0.7360 0.0032 0.4986 Na
0.7360 0.4968 0.4986 Na
0.7394 0.0101 0.9920 Na
0.7394 0.4899 0.9920 Na
0.9084 0.7500 0.8248 Na
0.0418 0.2500 0.6821 Mn
0.4628 0.7500 0.8221 Mn
0.5372 0.2500 0.1779 Mn
0.9582 0.7500 0.3179 Mn
0.1131 0.7500 0.6899 P
0.3908 0.2500 0.8094 P
0.6092 0.7500 0.1906 P
0.8869 0.2500 0.3101 P
0.0716 0.7500 0.1390 C
0.4115 0.2500 0.3410 C
0.5885 0.7500 0.6590 C
0.9284 0.2500 0.8610 C
0.0291 0.5650 0.7011 O
0.0291 0.9350 0.7011 O
0.0717 0.2500 0.9220 O
0.1270 0.7500 0.5503 O
0.1337 0.7500 0.0592 O
0.1469 0.7500 0.2816 O
0.2349 0.2500 0.6693 O
0.2731 0.7500 0.8276 O
0.3277 0.2500 0.3976 O
0.3483 0.2500 0.1962 O
0.3739 0.2500 0.9478 O
0.4472 0.7500 0.5885 O
0.4766 0.0609 0.8068 O
0.4766 0.4391 0.8068 O
0.5234 0.5609 0.1932 O
0.5234 0.9391 0.1932 O
0.5528 0.2500 0.4115 O
0.6261 0.7500 0.0522 O
0.6517 0.7500 0.8038 O
0.6723 0.7500 0.6024 O
0.7269 0.2500 0.1724 O
0.7651 0.7500 0.3307 O
0.8531 0.2500 0.7184 O
0.8663 0.2500 0.9408 O
0.8730 0.2500 0.4497 O
0.9283 0.7500 0.0780 O
0.9709 0.0650 0.2989 O
0.9709 0.4350 0.2989 O
```